[1]
Material: Er2PuCrN4
Method: DFT, PBE
State: relaxed

Properties
The volume comes out at 220.64 Å³ per cell. As for the energy relative to the elements, uncorrected: -1.202 eV/atom. The value obtained for the density of states at the Fermi level is 7.7 states/eV/f.u. Its space-group type is No. 63.

Cell: 3.3408 5.9465 11.5725 Å, 90.00 90.00 106.31°
Last column: magnetic moment on the atom in μB.
Positions (direct):
N 0.7330 0.4661 0.8715  -0.05
N 0.5727 0.1455 0.2500  -0.11
Er 0.6303 0.2605 0.4571  0.05
N 0.0000 0.0000 0.5000  -0.01
Er 0.3697 0.7395 0.9571  0.05
Cr 0.1633 0.3266 0.2500  1.71
N 0.2670 0.5339 0.3715  -0.05
Pu 0.1033 0.2067 0.7500  5.25
Er 0.6303 0.2605 0.0429  0.05
N 0.2670 0.5339 0.1285  -0.05
N 0.0000 0.0000 0.0000  -0.01
N 0.7330 0.4661 0.6285  -0.05
Er 0.3697 0.7395 0.5429  0.05
Cr 0.8367 0.6734 0.7500  1.71
Pu 0.8967 0.7933 0.2500  5.25
N 0.4273 0.8545 0.7500  -0.11

***

[2]
Material: Er2CrReN5
Method: DFT, PBE
State: relaxed

Properties
The volume comes out at 208.08 Å³ per cell. As for the energy relative to the elements, uncorrected: -0.808 eV/atom. The value obtained for the density of states at the Fermi level is 2.7 states/eV/f.u. Its space-group type is No. 36.

Cell: 3.2553 6.5793 10.0272 Å, 90.00 90.00 104.32°
Last column: magnetic moment on the atom in μB.
Positions (direct):
Re 0.4722 0.9444 0.4614  -0.23
N 0.6804 0.3608 0.8810  -0.04
Cr 0.7767 0.5534 0.5157  1.95
N 0.2797 0.5594 0.6477  -0.01
Er 0.1529 0.3059 0.2916  -0.02
N 0.7203 0.4406 0.1477  -0.01
Er 0.1092 0.2184 0.6908  -0.01
Er 0.8908 0.7816 0.1908  -0.01
Re 0.5278 0.0556 0.9614  -0.23
N 0.9451 0.8901 0.5537  0.02
N 0.5118 0.0235 0.2793  0.01
N 0.0549 0.1099 0.0537  0.02
N 0.6294 0.2588 0.5026  -0.08
Er 0.8471 0.6941 0.7916  -0.02
N 0.3706 0.7412 0.0026  -0.08
N 0.3196 0.6392 0.3810  -0.04
N 0.4882 0.9765 0.7793  0.01
Cr 0.2233 0.4466 0.0157  1.95

***

[3]
Material: SmErCrN3
Method: DFT, PBE
State: relaxed

Properties
The volume comes out at 180.05 Å³ per cell. As for the energy relative to the elements, uncorrected: -1.136 eV/atom. The value obtained for the density of states at the Fermi level is 2.7 states/eV/f.u. Its space-group type is No. 11.

Cell: 3.3999 7.2593 7.3811 Å, 98.76 90.00 90.00°
Last column: magnetic moment on the atom in μB.
Positions (direct):
N 0.2500 0.8336 0.4773  -0.01
Cr 0.2500 0.0815 0.5987  0.29
Cr 0.7500 0.9185 0.4013  0.29
Sm 0.2500 0.1756 0.1772  0.01
Sm 0.7500 0.8244 0.8228  0.01
Er 0.7500 0.3658 0.8329  0.01
N 0.2500 0.5950 0.8533  0.00
N 0.7500 0.4050 0.1467  0.00
Er 0.2500 0.6342 0.1671  0.01
N 0.7500 0.8831 0.1519  0.00
N 0.7500 0.1664 0.5227  -0.01
N 0.2500 0.1169 0.8481  0.00

***

The lowest energy relative to the elements, uncorrected belongs to which entry?
Er2PuCrN4

***

Which of these has the lowest energy relative to the elements, uncorrected?
Er2PuCrN4

***

energy relative to the elements, uncorrected of number 3 (SmErCrN3)?
-1.136 eV/atom

***

Number 1 is which compound?
Er2PuCrN4